Tm2Pa2Tc3 | PBE | relaxed

Properties
- energy of formation (eV/atom) = -0.26
- size of the total moment (μB/f.u.) = 0.0

abc: 6.9700 6.9700 8.0430
angles: 122.90 122.90 28.91
Element x y z (fractional)
Tm 0.1007 0.1007 0.2848
Tm 0.8993 0.8993 0.7152
Pa 0.1805 0.1805 0.7742
Pa 0.8195 0.8195 0.2258
Tc 0.3910 0.3910 0.0179
Tc 0.5000 0.5000 0.5000
Tc 0.6090 0.6090 0.9821